Record 1
Ho8Ga3Se4S | PBE | optimized geometry

Geometry as CIF:
```
data_Ho8Ga3Se4S
_cell_length_a 8.0286
_cell_length_b 8.3040
_cell_length_c 8.0285
_cell_angle_alpha 118.91
_cell_angle_beta 120.00
_cell_angle_gamma 90.00
_space_group_name_H-M_alt 'P 1'
_space_group_IT_number 1
_space_group_name_Hall 'P 1'
loop_
_atom_site_label
_atom_site_type_symbol
_atom_site_fract_x
_atom_site_fract_y
_atom_site_fract_z
S1 S 0.0000 0.5000 0.0000
Ga1 Ga 0.5000 0.5000 0.5000
Se1 Se 0.5000 0.0000 0.5000
Ho1 Ho 0.7503 0.7508 0.5006
Ho2 Ho 0.7540 0.2593 0.5081
Ga2 Ga 0.5000 0.5000 0.0000
Se2 Se 0.0000 0.0000 0.0000
Ho3 Ho 0.2460 0.7407 0.4919
Se3 Se 0.5000 0.0000 0.0000
Ho4 Ho 0.2497 0.2492 0.4994
Ho5 Ho 0.7540 0.2592 0.0052
Ho6 Ho 0.2513 0.2592 0.0052
Ho7 Ho 0.7487 0.7408 0.9948
Ho8 Ho 0.2460 0.7408 0.9948
Se4 Se 0.0000 0.0000 0.5000
Ga3 Ga 0.0000 0.5000 0.5000
```

calculated total energy	-5.33	eV per atom
formation energy without anion corrections	-1.34	eV/atom
magnetic moment	0.00	Bohr magnetons per cell
symmetry	No. 166

---

Record 2
PuAlTl | PBE | optimized geometry

Geometry as CIF:
```
data_PuAlTl
_cell_length_a 4.6620
_cell_length_b 3.1414
_cell_length_c 9.9835
_cell_angle_alpha 80.95
_cell_angle_beta 90.00
_cell_angle_gamma 90.00
_space_group_name_H-M_alt 'P 1'
_space_group_IT_number 1
_space_group_name_Hall 'P 1'
loop_
_atom_site_label
_atom_site_type_symbol
_atom_site_fract_x
_atom_site_fract_y
_atom_site_fract_z
Al1 Al 0.7500 0.4653 0.0694
Pu1 Pu 0.2500 0.8963 0.2075
Tl1 Tl 0.7500 0.2968 0.4063
Al2 Al 0.2500 0.5347 0.9306
Pu2 Pu 0.7500 0.1037 0.7925
Tl2 Tl 0.2500 0.7032 0.5937
```

calculated total energy	-6.88	eV per atom
energy relative to the elements	-0.069	eV per atom
magnetic moment	11.41	Bohr magnetons per cell
symmetry	No. 63